# 1
PCl after structural relaxation, computed with PBE.

abc: 10.2595 10.2595 3.5110
angles: 90.00 90.00 120.00
Last column: nearest neighbours and their distance in Å.
Atoms (fractional coordinates):
P 0.0597 0.8729 0.2500  1 Cl 2.08
P 0.1271 0.1868 0.2500  1 Cl 2.08
P 0.1868 0.0597 0.7500  1 Cl 2.08
P 0.8132 0.9403 0.2500  1 Cl 2.08
P 0.8729 0.8132 0.7500  1 Cl 2.08
P 0.9403 0.1271 0.7500  1 Cl 2.08
Cl 0.1318 0.7158 0.2500  1 P 2.08
Cl 0.2842 0.4161 0.2500  1 P 2.08
Cl 0.4161 0.1318 0.7500  1 P 2.08
Cl 0.5839 0.8682 0.2500  1 P 2.08
Cl 0.7158 0.5839 0.7500  1 P 2.08
Cl 0.8682 0.2842 0.7500  1 P 2.08

mass density = 2.07 g/cm3
total energy = -3.810 eV per atom
uncorrected formation energy = -4.2 kcal/mol of atoms
relative energy among the computed polymorphs = 177 meV/atom

---

# 2
P5Cl after structural relaxation, computed with PBE.

abc: 6.1622 3.4435 11.1407
angles: 90.00 101.55 90.00
Last column: nearest neighbours and their distance in Å.
Atoms (fractional coordinates):
P 0.0000 0.0000 0.0000  3 P 2.29-2.37
P 0.0160 0.5000 0.4937  1 Cl 2.08
P 0.1188 0.0000 0.3758  6 P 2.28-2.54
P 0.2742 0.5000 0.2534  5 P 2.28-2.50
P 0.3569 0.0000 0.1083  5 P 2.29-2.48
P 0.5000 0.5000 0.0000  3 P 2.29-2.37
P 0.5160 0.0000 0.4937  1 Cl 2.08
P 0.6188 0.5000 0.3758  6 P 2.28-2.54
P 0.7742 0.0000 0.2534  5 P 2.28-2.50
P 0.8569 0.5000 0.1083  5 P 2.29-2.48
Cl 0.2320 0.5000 0.6626  1 P 2.08
Cl 0.7320 0.0000 0.6626  1 P 2.08

mass density = 2.73 g/cm3
total energy = -4.717 eV per atom
uncorrected formation energy = 2.3 kcal/mol of atoms
relative energy among the computed polymorphs = 0 meV/atom

---

# 3
PCl after structural relaxation, computed with PBE.

abc: 7.3594 10.1454 8.2327
angles: 90.00 90.00 90.00
Last column: nearest neighbours and their distance in Å.
Atoms (fractional coordinates):
P 0.1271 0.0395 0.0171  1 P 2.05, 1 Cl 2.07
P 0.1271 0.4605 0.5171  1 P 2.05, 1 Cl 2.07
P 0.3729 0.5395 0.0171  1 P 2.05, 1 Cl 2.07
P 0.3729 0.9605 0.5171  1 P 2.05, 1 Cl 2.07
P 0.6271 0.0395 0.4829  1 P 2.05, 1 Cl 2.07
P 0.6271 0.4605 0.9829  1 P 2.05, 1 Cl 2.07
P 0.8729 0.5395 0.4829  1 P 2.05, 1 Cl 2.07
P 0.8729 0.9605 0.9829  1 P 2.05, 1 Cl 2.07
Cl 0.0471 0.2140 0.1258  1 P 2.07
Cl 0.0471 0.2860 0.6258  1 P 2.07
Cl 0.4529 0.7140 0.1258  1 P 2.07
Cl 0.4529 0.7860 0.6258  1 P 2.07
Cl 0.5471 0.2140 0.3742  1 P 2.07
Cl 0.5471 0.2860 0.8742  1 P 2.07
Cl 0.9529 0.7140 0.3742  1 P 2.07
Cl 0.9529 0.7860 0.8742  1 P 2.07

mass density = 1.44 g/cm3
total energy = -3.809 eV per atom
uncorrected formation energy = -4.2 kcal/mol of atoms
relative energy among the computed polymorphs = 178 meV/atom

---

# 4
P2Cl13 after structural relaxation, computed with PBE.

abc: 6.3493 6.6751 13.7280
angles: 95.60 94.69 106.17
Last column: nearest neighbours and their distance in Å.
Atoms (fractional coordinates):
P 0.0124 0.2492 0.3023  5 Cl 2.03-2.16
P 0.9876 0.7508 0.6977  5 Cl 2.03-2.16
Cl 0.0961 0.0900 0.1847  1 P 2.03
Cl 0.1645 0.2451 0.4377  1 P 2.03
Cl 0.2169 0.5908 0.7138  1 P 2.04
Cl 0.2493 0.0265 0.6801  1 P 2.16
Cl 0.2647 0.5308 0.2825  1 P 2.16
Cl 0.4972 0.3424 0.9718  2 Cl 2.16-2.36
Cl 0.5000 0.0000 0.0000  2 Cl 2.36
Cl 0.5028 0.6576 0.0282  2 Cl 2.16-2.36
Cl 0.7353 0.4692 0.7175  1 P 2.16
Cl 0.7507 0.9735 0.3199  1 P 2.16
Cl 0.7831 0.4092 0.2862  1 P 2.04
Cl 0.8355 0.7549 0.5623  1 P 2.03
Cl 0.9039 0.9100 0.8153  1 P 2.03

mass density = 1.57 g/cm3
total energy = -2.745 eV per atom
uncorrected formation energy = -9.8 kcal/mol of atoms

---

# 5
PCl after structural relaxation, computed with PBE.

abc: 4.2410 13.4004 3.3464
angles: 90.00 90.00 90.00
Last column: nearest neighbours and their distance in Å.
Atoms (fractional coordinates):
P 0.0000 0.0582 0.2500  2 P 2.29
P 0.0000 0.9418 0.7500  2 P 2.29
P 0.5000 0.4418 0.7500  2 P 2.29
P 0.5000 0.5582 0.2500  2 P 2.29
Cl 0.0000 0.3842 0.2500  4 P 2.81
Cl 0.0000 0.6158 0.7500  4 P 2.81
Cl 0.5000 0.1158 0.7500  4 P 2.81
Cl 0.5000 0.8842 0.2500  4 P 2.81

mass density = 2.32 g/cm3
total energy = -3.394 eV per atom
uncorrected formation energy = 5.4 kcal/mol of atoms
relative energy among the computed polymorphs = 593 meV/atom

---

# 6
P2Cl after structural relaxation, computed with PBE.

abc: 4.6837 4.6837 2.7189
angles: 90.00 90.00 90.00
Last column: nearest neighbours and their distance in Å.
Atoms (fractional coordinates):
P 0.0000 0.5000 0.0000  4 Cl 2.71, 2 P 2.72
P 0.5000 0.0000 0.0000  4 Cl 2.71, 2 P 2.72
Cl 0.0000 0.0000 0.5000  8 P 2.71, 2 Cl 2.72

mass density = 2.71 g/cm3
total energy = -2.957 eV per atom
uncorrected formation energy = 29.2 kcal/mol of atoms
relative energy among the computed polymorphs = 1479 meV/atom

---

- The lowest uncorrected formation energy belongs to which entry?
  P2Cl13

---

- The lowest mass density belongs to which entry?
  number 3

---

- The lowest uncorrected formation energy belongs to which entry?
  P2Cl13